Arrangement a

{"formula": "LiLa2OsN", "functional": "PBE", "state": "optimized geometry", "space_group": "P4/mmm (123)", "crystal_system": "tetragonal", "density_g_cm3": 8.2, "lattice_angstrom": [[-1.345, -4.895, -0.319], [4.841, -1.271, -0.900], [0.589, -0.406, 3.743]], "species": ["La", "La", "Os", "N", "Li"], "fractional_positions": [[0.500, 0.000, 0.000], [0.000, 0.500, 0.000], [0.500, 0.500, 0.500], [0.000, 0.000, 0.000], [0.000, 0.000, 0.500]]}

Arrangement b

{"formula": "LiLa2OsN", "functional": "PBE", "state": "optimized geometry", "space_group": "P4/mmm (123)", "crystal_system": "tetragonal", "density_g_cm3": 7.5, "lattice_angstrom": [[-2.677, 2.827, -3.601], [-4.578, -1.623, 2.129], [0.024, 3.044, 2.372]], "species": ["Os", "Li", "N", "La", "La"], "fractional_positions": [[0.000, 0.000, 0.500], [0.500, 0.500, 0.500], [0.000, 0.000, 0.000], [0.000, 0.500, 0.000], [0.500, 0.000, 0.000]]}

Best to worst by energy: arrangement b, arrangement a.

Arrangement a

{"formula": "LiLa2PN", "functional": "PBE", "state": "optimized geometry", "space_group": "P4/mmm (123)", "crystal_system": "tetragonal", "density_g_cm3": 5.4, "lattice_angstrom": [[-2.498, 1.262, 4.152], [3.482, -2.277, 2.787], [2.101, 3.470, 0.210]], "species": ["Li", "P", "N", "La", "La"], "fractional_positions": [[0.000, 0.000, 0.500], [0.500, 0.500, 0.500], [0.000, 0.000, 0.000], [0.000, 0.500, 0.000], [0.500, 0.000, 0.000]]}

Arrangement b

{"formula": "LiLa2PN", "functional": "PBE", "state": "optimized geometry", "space_group": "P2_1/m (11)", "crystal_system": "monoclinic", "density_g_cm3": 5.4, "lattice_angstrom": [[3.951, 0.000, 0.000], [0.000, 6.678, 0.226], [0.000, -2.596, 7.635]], "species": ["La", "La", "La", "La", "Li", "Li", "N", "N", "P", "P"], "fractional_positions": [[0.750, 0.790, 0.042], [0.250, 0.179, 0.386], [0.750, 0.821, 0.614], [0.250, 0.210, 0.958], [0.250, 0.536, 0.740], [0.750, 0.464, 0.260], [0.750, 0.158, 0.175], [0.250, 0.842, 0.825], [0.750, 0.314, 0.697], [0.250, 0.686, 0.303]]}

Best to worst by energy: arrangement b, arrangement a.

Arrangement a

{"formula": "Li2LaPbN", "functional": "PBE", "state": "optimized geometry", "space_group": "Cmcm (63)", "crystal_system": "orthorhombic", "density_g_cm3": 6.4, "lattice_angstrom": [[3.595, 0.000, 0.000], [-1.797, 7.543, 0.000], [0.000, 0.000, 7.150]], "species": ["Pb", "Pb", "La", "La", "Li", "Li", "Li", "Li", "N", "N"], "fractional_positions": [[0.750, 0.499, 0.750], [0.250, 0.501, 0.250], [0.535, 0.070, 0.250], [0.465, 0.930, 0.750], [0.872, 0.744, 0.060], [0.872, 0.744, 0.440], [0.128, 0.256, 0.940], [0.128, 0.256, 0.560], [0.000, 0.000, 0.500], [0.000, 0.000, 0.000]]}

Arrangement b

{"formula": "Li2LaPbN", "functional": "PBE", "state": "optimized geometry", "space_group": "P4/mmm (123)", "crystal_system": "tetragonal", "density_g_cm3": 5.8, "lattice_angstrom": [[-2.639, -3.854, 1.174], [2.364, -2.618, -3.279], [3.123, -1.168, 3.184]], "species": ["Pb", "Li", "Li", "La", "N"], "fractional_positions": [[0.500, 0.500, 0.500], [0.500, 0.000, 0.000], [0.000, 0.500, 0.000], [0.000, 0.000, 0.500], [0.000, 0.000, 0.000]]}

Best to worst by energy: arrangement a, arrangement b.

Arrangement a

{"formula": "LiLa2RhN", "functional": "PBE", "state": "optimized geometry", "space_group": "P4/mmm (123)", "crystal_system": "tetragonal", "density_g_cm3": 6.6, "lattice_angstrom": [[5.049, 0.000, 0.000], [0.000, 5.049, 0.000], [0.000, 0.000, 3.944]], "species": ["N", "La", "La", "Li", "Rh"], "fractional_positions": [[0.000, 0.000, 0.000], [0.500, 0.000, 0.000], [0.000, 0.500, 0.000], [0.000, 0.000, 0.500], [0.500, 0.500, 0.500]]}

Arrangement b

{"formula": "LiLa2RhN", "functional": "PBE", "state": "optimized geometry", "space_group": "P4/mmm (123)", "crystal_system": "tetragonal", "density_g_cm3": 6.2, "lattice_angstrom": [[-1.934, 4.332, 2.103], [-4.740, -1.314, -1.653], [-0.656, -1.964, 3.442]], "species": ["N", "Rh", "La", "La", "Li"], "fractional_positions": [[0.000, 0.000, 0.000], [0.000, 0.000, 0.500], [0.000, 0.500, 0.000], [0.500, 0.000, 0.000], [0.500, 0.500, 0.500]]}

Best to worst by energy: arrangement a, arrangement b.

Arrangement a

{"formula": "LiLaS2N", "functional": "PBE", "state": "optimized geometry", "space_group": "P4/mmm (123)", "crystal_system": "tetragonal", "density_g_cm3": 4.2, "lattice_angstrom": [[-3.027, -2.567, -2.535], [3.101, -0.162, -3.540], [1.561, -3.342, 1.520]], "species": ["S", "S", "Li", "N", "La"], "fractional_positions": [[0.000, 0.500, 0.000], [0.500, 0.000, 0.000], [0.000, 0.000, 0.000], [0.000, 0.000, 0.500], [0.500, 0.500, 0.500]]}

Arrangement b

{"formula": "LiLaS2N", "functional": "PBE", "state": "optimized geometry", "space_group": "P4/mmm (123)", "crystal_system": "tetragonal", "density_g_cm3": 2.6, "lattice_angstrom": [[-5.250, -0.824, 1.924], [-1.316, -2.742, -4.764], [1.266, -3.790, 1.832]], "species": ["La", "N", "S", "S", "Li"], "fractional_positions": [[0.000, 0.000, 0.000], [0.000, 0.000, 0.500], [0.500, 0.000, 0.000], [0.000, 0.500, 0.000], [0.500, 0.500, 0.500]]}

Best to worst by energy: arrangement a, arrangement b.

Arrangement a

{"formula": "Li2LaSbN", "functional": "PBE", "state": "optimized geometry", "space_group": "Cmcm (63)", "crystal_system": "orthorhombic", "density_g_cm3": 5.2, "lattice_angstrom": [[-0.313, -2.391, -2.599], [1.150, -3.881, 5.850], [-7.460, -0.358, 1.228]], "species": ["N", "N", "Sb", "Sb", "Li", "Li", "Li", "Li", "La", "La"], "fractional_positions": [[0.000, 0.000, 0.000], [0.000, 0.000, 0.500], [0.744, 0.487, 0.750], [0.256, 0.513, 0.250], [0.142, 0.283, 0.544], [0.858, 0.717, 0.456], [0.858, 0.717, 0.044], [0.142, 0.283, 0.956], [0.528, 0.055, 0.250], [0.472, 0.945, 0.750]]}

Arrangement b

{"formula": "Li2LaSbN", "functional": "PBE", "state": "optimized geometry", "space_group": "P4/mmm (123)", "crystal_system": "tetragonal", "density_g_cm3": 4.8, "lattice_angstrom": [[-2.797, 1.208, 3.480], [2.262, -2.885, 2.820], [2.950, 3.458, 1.171]], "species": ["Li", "Li", "La", "N", "Sb"], "fractional_positions": [[0.500, 0.000, 0.000], [0.000, 0.500, 0.000], [0.000, 0.000, 0.500], [0.000, 0.000, 0.000], [0.500, 0.500, 0.500]]}

Best to worst by energy: arrangement a, arrangement b.

Arrangement a

{"formula": "LiLaSe2N", "functional": "PBE", "state": "optimized geometry", "space_group": "P4/mmm (123)", "crystal_system": "tetragonal", "density_g_cm3": 3.4, "lattice_angstrom": [[-1.426, 4.770, -3.302], [-4.035, -3.259, -2.965], [-3.008, 1.099, 2.886]], "species": ["La", "Se", "Se", "Li", "N"], "fractional_positions": [[0.000, 0.000, 0.000], [0.000, 0.500, 0.000], [0.500, 0.000, 0.000], [0.500, 0.500, 0.500], [0.000, 0.000, 0.500]]}

Arrangement b

{"formula": "LiLaSe2N", "functional": "PBE", "state": "optimized geometry", "space_group": "P4/mmm (123)", "crystal_system": "tetragonal", "density_g_cm3": 5.3, "lattice_angstrom": [[-4.427, 0.085, 2.204], [-1.829, -2.902, -3.563], [1.011, -3.287, 2.158]], "species": ["La", "Se", "Se", "N", "Li"], "fractional_positions": [[0.500, 0.500, 0.500], [0.000, 0.500, 0.000], [0.500, 0.000, 0.000], [0.000, 0.000, 0.500], [0.000, 0.000, 0.000]]}

Best to worst by energy: arrangement b, arrangement a.

Arrangement a

{"formula": "LiLaTeN2", "functional": "PBE", "state": "optimized geometry", "space_group": "P4/mmm (123)", "crystal_system": "tetragonal", "density_g_cm3": 3.8, "lattice_angstrom": [[-1.454, 2.439, -3.307], [-3.987, -1.690, 0.507], [-1.577, 5.043, 4.413]], "species": ["Te", "N", "N", "La", "Li"], "fractional_positions": [[0.000, 0.000, 0.500], [0.500, 0.000, 0.000], [0.000, 0.500, 0.000], [0.000, 0.000, 0.000], [0.500, 0.500, 0.500]]}

Arrangement b

{"formula": "LiLaTeN2", "functional": "PBE", "state": "optimized geometry", "space_group": "P4/mmm (123)", "crystal_system": "tetragonal", "density_g_cm3": 5.7, "lattice_angstrom": [[-3.085, 1.154, 2.910], [0.125, -4.037, 1.733], [3.247, 1.348, 2.907]], "species": ["N", "N", "Li", "La", "Te"], "fractional_positions": [[0.000, 0.500, 0.000], [0.500, 0.000, 0.000], [0.000, 0.000, 0.000], [0.500, 0.500, 0.500], [0.000, 0.000, 0.500]]}

Best to worst by energy: arrangement a, arrangement b.